[1]
Here is a relaxed Zr8As2C3 crystal from Alexandria. Energies are from PBE-GGA.

Results
* D(E_F): 0.76 states/eV per atom
* energy of formation: -0.656 eV per atom
* space-group type: No. 12

abc: 6.0088 6.7709 7.2692
angles: 117.76 104.49 90.00
Closest atoms and distances in Å follow each position.
Positions (direct):
Zr 0.9189 0.5974 0.1949  2 C 2.30
Zr 0.0811 0.4026 0.8051  2 C 2.30
Zr 0.8926 0.0994 0.1987  3 C 2.26-2.34
Zr 0.1074 0.9006 0.8013  3 C 2.26-2.34
Zr 0.6098 0.6531 0.7998  2 C 2.32-2.34
Zr 0.6098 0.1467 0.7998  2 C 2.32-2.34
Zr 0.3902 0.8533 0.2002  2 C 2.32-2.34
Zr 0.3902 0.3469 0.2002  2 C 2.32-2.34
As 0.3154 0.2544 0.5087  6 Zr 2.67-2.77
As 0.6846 0.7456 0.4913  6 Zr 2.67-2.77
C 0.5000 0.0000 0.0000  6 Zr 2.32-2.34
C 0.0000 0.2377 0.0000  6 Zr 2.26-2.34
C 0.0000 0.7623 0.0000  6 Zr 2.26-2.34

[2]
Here is a relaxed Nd6Tm5Th crystal from Alexandria. Energies are from PBE-GGA.

Results
* D(E_F): 1.45 states/eV per atom
* energy of formation: 0.032 eV per atom
* space-group type: No. 71

abc: 5.1119 10.1113 9.4971
angles: 122.17 105.62 89.98
Closest atoms and distances in Å follow each position.
Positions (direct):
Tm 0.6643 0.1642 0.3285  8 Nd 3.55-3.63, 2 Th 3.58, 2 Tm 3.61
Tm 0.3317 0.3317 0.6633  8 Nd 3.59-3.61, 4 Tm 3.61-3.62
Tm 0.0000 0.5000 0.0000  8 Nd 3.56-3.60, 4 Tm 3.62
Tm 0.6683 0.6683 0.3367  8 Nd 3.59-3.61, 4 Tm 3.61-3.62
Tm 0.3357 0.8358 0.6715  8 Nd 3.55-3.63, 2 Th 3.58, 2 Tm 3.61
Nd 0.8353 0.5848 0.6709  7 Tm 3.56-3.63, 1 Th 3.57, 4 Nd 3.58-3.65
Nd 0.8353 0.0860 0.6708  7 Tm 3.56-3.63, 1 Th 3.57, 4 Nd 3.58-3.65
Nd 0.5000 0.7509 0.0000  6 Tm 3.55-3.61, 4 Nd 3.58, 2 Th 3.59
Nd 0.5000 0.2491 0.0000  6 Tm 3.55-3.61, 4 Nd 3.58, 2 Th 3.59
Nd 0.1647 0.9140 0.3292  7 Tm 3.56-3.63, 1 Th 3.57, 4 Nd 3.58-3.65
Nd 0.1647 0.4152 0.3291  7 Tm 3.56-3.63, 1 Th 3.57, 4 Nd 3.58-3.65
Th 0.0000 0.0000 0.0000  8 Nd 3.57-3.59, 4 Tm 3.58

[3]
Here is a relaxed Cs3DyU2Se6 crystal from Alexandria. Energies are from PBE-GGA.

Results
* D(E_F): 0.85 states/eV per atom
* raw formation energy: -1365 meV per atom
* space-group type: No. 12

abc: 7.4024 7.4024 8.7740
angles: 98.08 98.08 120.00
Closest atoms and distances in Å follow each position.
Positions (direct):
Cs 0.1664 0.8336 0.5000  6 Se 3.61-3.62
Cs 0.8336 0.1664 0.5000  6 Se 3.61-3.62
Cs 0.5000 0.5000 0.5000  6 Se 3.61-3.62
Dy 0.0000 0.0000 0.0000  6 Se 2.92
U 0.3333 0.6667 0.0000  6 Se 2.93
U 0.6667 0.3333 0.0000  6 Se 2.93
Se 0.9377 0.6056 0.8131  1 Dy 2.92, 2 U 2.93
Se 0.7302 0.7302 0.1868  1 Dy 2.92, 2 U 2.93
Se 0.0623 0.3944 0.1869  1 Dy 2.92, 2 U 2.93
Se 0.6056 0.9377 0.8131  1 Dy 2.92, 2 U 2.93
Se 0.2698 0.2698 0.8132  1 Dy 2.92, 2 U 2.93
Se 0.3944 0.0623 0.1869  1 Dy 2.92, 2 U 2.93

[4]
Here is a relaxed Co2AsW crystal from Alexandria. Energies are from PBE-GGA.

Results
* D(E_F): 0.94 states/eV per atom
* energy of formation: 0.216 eV per atom
* space-group type: No. 12

abc: 4.4434 4.4434 4.4650
angles: 79.92 79.92 37.19
Closest atoms and distances in Å follow each position.
Positions (direct):
As 0.2500 0.2500 0.2500  6 Co 2.59-2.61, 4 W 2.64, 2 As 2.83
Co 0.9985 0.9985 0.9940  3 W 2.53-2.61, 3 As 2.59-2.61, 6 Co 2.60-2.83
Co 0.5015 0.5015 0.5060  3 W 2.53-2.61, 3 As 2.59-2.61, 6 Co 2.60-2.83
W 0.7500 0.7500 0.7500  6 Co 2.53-2.61, 4 As 2.64, 2 W 2.83

[5]
Here is a relaxed Mg2Zn2Au crystal from Alexandria. Energies are from PBE-GGA.

Results
* D(E_F): 0.21 states/eV per atom
* energy of formation: -0.187 eV per atom
* space-group type: No. 141

abc: 4.3278 4.3278 10.9539
angles: 101.39 101.39 90.00
Closest atoms and distances in Å follow each position.
Positions (direct):
Mg 0.8225 0.8225 0.6450  2 Au 2.65
Mg 0.5725 0.0725 0.1450  2 Au 2.65
Mg 0.9275 0.4275 0.8550  2 Au 2.65
Mg 0.1775 0.1775 0.3550  2 Au 2.65
Zn 0.4194 0.9194 0.8388  2 Au 2.75, 2 Zn 2.86, 6 Mg 2.97-3.06
Zn 0.6694 0.6694 0.3388  2 Au 2.75, 2 Zn 2.86, 6 Mg 2.97-3.06
Zn 0.3306 0.3306 0.6612  2 Au 2.75, 2 Zn 2.86, 6 Mg 2.97-3.06
Zn 0.0806 0.5806 0.1612  2 Au 2.75, 2 Zn 2.86, 6 Mg 2.97-3.06
Au 0.5000 0.5000 0.0000  4 Mg 2.65, 4 Zn 2.75
Au 0.2500 0.7500 0.5000  4 Mg 2.65, 4 Zn 2.75

[6]
Here is a relaxed Tb6Al2Ru crystal from Alexandria. Energies are from PBE-GGA.

Results
* D(E_F): 1.01 states/eV per atom
* energy of formation: -0.102 eV per atom
* space-group type: No. 71

abc: 5.0558 7.0817 8.5373
angles: 114.50 107.22 90.00
Closest atoms and distances in Å follow each position.
Positions (direct):
Tb 0.1565 0.4011 0.3131  1 Ru 2.88, 3 Al 3.11
Tb 0.8435 0.0880 0.6869  1 Ru 2.88, 3 Al 3.11
Tb 0.8435 0.5989 0.6869  1 Ru 2.88, 3 Al 3.11
Tb 0.5000 0.2351 0.0000  2 Ru 3.03, 2 Al 3.10, 1 Tb 3.33
Tb 0.1565 0.9120 0.3131  1 Ru 2.88, 3 Al 3.11
Tb 0.5000 0.7649 0.0000  2 Ru 3.03, 2 Al 3.10, 1 Tb 3.33
Al 0.6679 0.6680 0.3359  8 Tb 3.10-3.11
Al 0.3321 0.3320 0.6641  8 Tb 3.10-3.11
Ru 0.0000 0.0000 0.0000  8 Tb 2.88-3.03

[7]
Here is a relaxed Pb2W crystal from Alexandria. Energies are from PBE-GGA.

Results
* D(E_F): 0.57 states/eV per atom
* energy of formation: 0.704 eV per atom
* space-group type: No. 12

abc: 8.0309 8.0309 6.7832
angles: 72.88 72.88 22.51
Closest atoms and distances in Å follow each position.
Positions (direct):
Pb 0.8390 0.8390 0.1133  4 W 3.01-3.24, 3 Pb 3.14-3.33
Pb 0.1112 0.1112 0.4426  4 Pb 3.14-3.35, 4 W 3.17-3.20
Pb 0.1610 0.1610 0.8867  4 W 3.01-3.24, 3 Pb 3.14-3.33
Pb 0.8888 0.8888 0.5574  4 Pb 3.14-3.35, 4 W 3.17-3.20
W 0.4899 0.4899 0.8314  1 W 2.40
W 0.5101 0.5101 0.1686  1 W 2.40

[8]
Here is a relaxed AcEr2Ag3 crystal from Alexandria. Energies are from PBE-GGA.

Results
* D(E_F): 0.53 states/eV per atom
* energy of formation: -0.295 eV per atom
* space-group type: No. 123

abc: 3.7012 3.7012 11.2629
angles: 90.00 90.00 90.00
Closest atoms and distances in Å follow each position.
Positions (direct):
Ac 0.5000 0.5000 0.5000  8 Ag 3.44, 4 Ac 3.70
Er 0.5000 0.5000 0.8436  8 Ag 3.08-3.15
Er 0.5000 0.5000 0.1564  8 Ag 3.08-3.15
Ag 0.0000 0.0000 0.0000  8 Er 3.15, 2 Ag 3.39
Ag 0.0000 0.0000 0.6989  4 Er 3.08, 1 Ag 3.39, 4 Ac 3.44
Ag 0.0000 0.0000 0.3011  4 Er 3.08, 1 Ag 3.39, 4 Ac 3.44